Entry 1:
{"formula": "TiNiAgF6", "functional": "GGA+U", "state": "relaxed", "dos_ef_per_ev_fu": 5.22, "energy_ev_per_atom": -5.115, "lattice_angstrom": [[5.432, 0.000, 0.000], [-2.716, 4.704, 0.000], [0.000, 0.000, 10.227]], "species": ["Ti", "Ti", "Ni", "Ni", "Ag", "Ag", "F", "F", "F", "F", "F", "F", "F", "F", "F", "F", "F", "F"], "frac_coords": [[0.333, 0.667, 0.250], [0.667, 0.333, 0.750], [0.333, 0.667, 0.750], [0.667, 0.333, 0.250], [0.000, 0.000, 0.000], [0.000, 0.000, 0.500], [0.004, 0.372, 0.147], [0.004, 0.632, 0.353], [0.368, 0.372, 0.353], [0.368, 0.996, 0.147], [0.372, 0.004, 0.647], [0.372, 0.368, 0.853], [0.628, 0.632, 0.147], [0.628, 0.996, 0.353], [0.632, 0.004, 0.853], [0.632, 0.628, 0.647], [0.996, 0.368, 0.647], [0.996, 0.628, 0.853]]}

Entry 2:
{"formula": "TlNi2AgF", "functional": "GGA+U", "state": "relaxed", "dos_ef_per_ev_fu": 2.72, "energy_ev_per_atom": -1.422, "lattice_angstrom": [[4.840, 0.000, 0.000], [0.000, 4.840, 0.000], [0.000, 0.000, 4.555]], "species": ["Tl", "Ni", "Ni", "Ag", "F"], "frac_coords": [[0.000, 0.000, 0.000], [0.000, 0.500, 0.000], [0.500, 0.000, 0.000], [0.500, 0.500, 0.500], [0.000, 0.000, 0.500]]}

Entry 3:
{"formula": "Tl2Ni3AgF12", "functional": "GGA+U", "state": "relaxed", "dos_ef_per_ev_fu": 10.30, "energy_ev_per_atom": -3.859, "lattice_angstrom": [[3.677, 2.123, 4.995], [-3.677, 2.123, 4.995], [0.000, -4.246, 4.995]], "species": ["Tl", "Tl", "Ni", "Ni", "Ni", "Ag", "F", "F", "F", "F", "F", "F", "F", "F", "F", "F", "F", "F"], "frac_coords": [[0.104, 0.104, 0.104], [0.896, 0.896, 0.896], [0.000, 0.500, 0.500], [0.500, 0.000, 0.500], [0.500, 0.500, 0.000], [0.500, 0.500, 0.500], [0.058, 0.667, 0.667], [0.224, 0.224, 0.634], [0.224, 0.634, 0.224], [0.333, 0.333, 0.942], [0.333, 0.942, 0.333], [0.366, 0.776, 0.776], [0.634, 0.224, 0.224], [0.667, 0.058, 0.667], [0.667, 0.667, 0.058], [0.776, 0.366, 0.776], [0.776, 0.776, 0.366], [0.942, 0.333, 0.333]]}

Entry 4:
{"formula": "TlNiAg2F8", "functional": "GGA+U", "state": "relaxed", "dos_ef_per_ev_fu": 4.11, "energy_ev_per_atom": -3.725, "lattice_angstrom": [[5.049, 0.000, 0.000], [0.420, 5.458, 0.000], [0.007, 0.007, 6.784]], "species": ["Tl", "Ni", "Ag", "Ag", "F", "F", "F", "F", "F", "F", "F", "F"], "frac_coords": [[0.000, 0.000, 0.000], [0.000, 0.000, 0.500], [0.500, 0.500, 0.264], [0.500, 0.500, 0.736], [0.171, 0.170, 0.263], [0.171, 0.170, 0.736], [0.292, 0.728, 0.500], [0.322, 0.697, 0.000], [0.678, 0.303, 0.000], [0.708, 0.272, 0.500], [0.829, 0.830, 0.264], [0.829, 0.830, 0.737]]}

Entry 5:
{"formula": "Tl3NiAg2F9", "functional": "GGA+U", "state": "relaxed", "dos_ef_per_ev_fu": 2.39, "energy_ev_per_atom": -3.729, "lattice_angstrom": [[6.181, 0.000, 0.000], [-3.091, 5.353, 0.000], [0.000, 0.000, 7.536]], "species": ["Tl", "Tl", "Tl", "Ni", "Ag", "Ag", "F", "F", "F", "F", "F", "F", "F", "F", "F"], "frac_coords": [[0.000, 0.000, 0.000], [0.333, 0.667, 0.694], [0.667, 0.333, 0.306], [0.000, 0.000, 0.500], [0.333, 0.667, 0.185], [0.667, 0.333, 0.815], [0.000, 0.500, 0.000], [0.148, 0.296, 0.352], [0.148, 0.852, 0.352], [0.296, 0.148, 0.648], [0.500, 0.000, 0.000], [0.500, 0.500, 0.000], [0.704, 0.852, 0.352], [0.852, 0.148, 0.648], [0.852, 0.704, 0.648]]}

Entry 6:
{"formula": "TlNiAg2F6", "functional": "GGA+U", "state": "relaxed", "dos_ef_per_ev_fu": 3.21, "energy_ev_per_atom": -3.724, "lattice_angstrom": [[5.814, 0.000, 0.000], [2.642, 5.192, 0.000], [2.655, 1.634, 4.942]], "species": ["Tl", "Ni", "Ag", "Ag", "F", "F", "F", "F", "F", "F"], "frac_coords": [[0.000, 0.000, 0.000], [0.500, 0.500, 0.500], [0.247, 0.252, 0.251], [0.753, 0.748, 0.749], [0.163, 0.705, 0.382], [0.283, 0.616, 0.837], [0.388, 0.158, 0.711], [0.612, 0.842, 0.289], [0.717, 0.384, 0.163], [0.837, 0.295, 0.618]]}

Entry 7:
{"formula": "TlNiAgF6", "functional": "GGA+U", "state": "relaxed", "energy_ev_per_atom": -3.865, "lattice_angstrom": [[5.698, 0.000, 0.000], [-2.849, 4.934, 0.000], [0.000, 0.000, 9.862]], "species": ["Tl", "Tl", "Ni", "Ni", "Ag", "Ag", "F", "F", "F", "F", "F", "F", "F", "F", "F", "F", "F", "F"], "frac_coords": [[0.333, 0.667, 0.250], [0.667, 0.333, 0.750], [0.333, 0.667, 0.750], [0.667, 0.333, 0.250], [0.000, 0.000, 0.000], [0.000, 0.000, 0.500], [0.024, 0.375, 0.638], [0.024, 0.649, 0.862], [0.351, 0.375, 0.862], [0.351, 0.976, 0.638], [0.375, 0.024, 0.138], [0.375, 0.351, 0.362], [0.625, 0.649, 0.638], [0.625, 0.976, 0.862], [0.649, 0.024, 0.362], [0.649, 0.625, 0.138], [0.976, 0.351, 0.138], [0.976, 0.625, 0.362]]}

Entry 8:
{"formula": "Tl4Ni3AgF12", "functional": "GGA+U", "state": "relaxed", "dos_ef_per_ev_fu": 9.69, "energy_ev_per_atom": -3.980, "lattice_angstrom": [[-4.221, 4.221, 4.221], [4.221, -4.221, 4.221], [4.221, 4.221, -4.221]], "species": ["Tl", "Tl", "Tl", "Tl", "Ni", "Ni", "Ni", "Ag", "F", "F", "F", "F", "F", "F", "F", "F", "F", "F", "F", "F"], "frac_coords": [[0.000, 0.000, 0.500], [0.000, 0.500, 0.000], [0.500, 0.000, 0.000], [0.500, 0.500, 0.500], [0.000, 0.500, 0.500], [0.500, 0.000, 0.500], [0.500, 0.500, 0.000], [0.000, 0.000, 0.000], [0.000, 0.267, 0.267], [0.000, 0.733, 0.733], [0.250, 0.500, 0.750], [0.250, 0.750, 0.500], [0.267, 0.000, 0.267], [0.267, 0.267, 0.000], [0.500, 0.250, 0.750], [0.500, 0.750, 0.250], [0.733, 0.000, 0.733], [0.733, 0.733, 0.000], [0.750, 0.250, 0.500], [0.750, 0.500, 0.250]]}